1.
# Ho12Er5Sb3

An optimized crystal structure of Ho12Er5Sb3 (GGA-PBE, Alexandria via LeMat-Bulk).

Computed properties:
Total DFT energy (no corrections) (eV for the cell shown): -309.865
E_form (uncorrected) (meV/atom): 632

abc: 15.748 15.748 15.748
angles: 109.47 109.47 109.47
Atoms (fractional coordinates):
Sb1 0.750 0.375 0.125
Sb2 0.875 0.750 0.125
Sb3 0.375 0.750 0.625
Sb4 0.250 0.125 0.375
Sb5 0.875 0.125 0.250
Sb6 0.375 0.625 0.250
Sb7 0.625 0.375 0.750
Sb8 0.125 0.875 0.750
Sb9 0.750 0.875 0.625
Sb10 0.625 0.250 0.375
Sb11 0.125 0.250 0.875
Sb12 0.250 0.625 0.875
Er1 0.125 0.375 0.250
Er2 0.000 0.500 0.000
Er3 0.000 0.000 0.000
Er4 0.375 0.250 0.125
Er5 0.500 0.000 0.500
Er6 0.500 0.500 0.000
Er7 0.125 0.750 0.375
Er8 0.750 0.125 0.875
Er9 0.750 0.625 0.375
Er10 0.375 0.125 0.750
Er11 0.625 0.875 0.250
Er12 0.500 0.500 0.500
Er13 0.500 0.000 0.000
Er14 0.000 0.000 0.500
Er15 0.250 0.375 0.625
Er16 0.250 0.875 0.125
Er17 0.000 0.500 0.500
Er18 0.875 0.250 0.625
Er19 0.625 0.750 0.875
Er20 0.875 0.625 0.750
Ho1 0.732 0.142 0.077
Ho2 0.345 0.577 0.435
Ho3 0.923 0.358 0.268
Ho4 0.577 0.232 0.142
Ho5 0.590 0.732 0.655
Ho6 0.923 0.565 0.155
Ho7 0.345 0.768 0.410
Ho8 0.065 0.910 0.142
Ho9 0.565 0.923 0.655
Ho10 0.732 0.590 0.155
Ho11 0.768 0.423 0.358
Ho12 0.845 0.935 0.077
Ho13 0.142 0.732 0.577
Ho14 0.358 0.435 0.090
Ho15 0.090 0.935 0.358
Ho16 0.410 0.142 0.565
Ho17 0.090 0.155 0.232
Ho18 0.423 0.655 0.065
Ho19 0.845 0.910 0.268
Ho20 0.142 0.410 0.065
Ho21 0.358 0.923 0.768
Ho22 0.565 0.642 0.410
Ho23 0.935 0.845 0.577
Ho24 0.768 0.345 0.910
Ho25 0.435 0.358 0.590
Ho26 0.065 0.155 0.423
Ho27 0.232 0.655 0.090
Ho28 0.155 0.090 0.732
Ho29 0.642 0.077 0.232
Ho30 0.858 0.590 0.935
Ho31 0.577 0.345 0.935
Ho32 0.590 0.858 0.435
Ho33 0.910 0.845 0.768
Ho34 0.910 0.065 0.642
Ho35 0.858 0.268 0.423
Ho36 0.155 0.065 0.923
Ho37 0.642 0.565 0.910
Ho38 0.435 0.077 0.345
Ho39 0.268 0.410 0.845
Ho40 0.232 0.577 0.642
Ho41 0.935 0.090 0.858
Ho42 0.655 0.232 0.590
Ho43 0.423 0.768 0.858
Ho44 0.077 0.435 0.845
Ho45 0.410 0.268 0.345
Ho46 0.077 0.642 0.732
Ho47 0.655 0.423 0.565
Ho48 0.268 0.858 0.923

2.
# Ho2Er3Sb2

An optimized crystal structure of Ho2Er3Sb2 (GGA-PBE, Alexandria via LeMat-Bulk).

Computed properties:
Total DFT energy (no corrections) (eV for the cell shown): -35.432
E_form (uncorrected) (meV/atom): -621

abc: 4.231 6.350 8.393
angles: 107.59 90.00 109.46
Atoms (fractional coordinates):
Ho1 0.870 0.740 0.219
Ho2 0.130 0.260 0.781
Er1 0.500 0.000 0.000
Er2 0.626 0.252 0.445
Er3 0.374 0.748 0.555
Sb1 0.826 0.651 0.808
Sb2 0.174 0.349 0.192

3.
# Ho2ErSc3Sb6

An optimized crystal structure of Ho2ErSc3Sb6 (GGA-PBE, Alexandria via LeMat-Bulk).

Computed properties:
Total DFT energy (no corrections) (eV for the cell shown): -69.658
E_form (uncorrected) (meV/atom): -1018

abc: 7.393 7.393 7.377
angles: 99.61 99.61 120.02
Atoms (fractional coordinates):
Ho1 0.334 0.666 0.000
Ho2 0.666 0.334 0.000
Er1 0.000 0.000 0.000
Sc1 0.167 0.833 0.500
Sc2 0.833 0.167 0.500
Sc3 0.500 0.500 0.500
Sb1 0.912 0.580 0.737
Sb2 0.755 0.755 0.264
Sb3 0.088 0.420 0.263
Sb4 0.580 0.912 0.737
Sb5 0.245 0.245 0.736
Sb6 0.420 0.088 0.263

4.
# HoErSc2Sb4

An optimized crystal structure of HoErSc2Sb4 (GGA-PBE, Alexandria via LeMat-Bulk).

Computed properties:
Total DFT energy (no corrections) (eV for the cell shown): -46.417
E_form (uncorrected) (meV/atom): -1016

abc: 4.266 7.387 7.379
angles: 109.48 90.00 90.00
Atoms (fractional coordinates):
Ho1 0.500 0.500 0.000
Er1 0.000 0.000 0.000
Sc1 0.500 0.000 0.500
Sc2 0.000 0.500 0.500
Sb1 0.500 0.254 0.263
Sb2 0.500 0.746 0.737
Sb3 0.000 0.245 0.737
Sb4 0.000 0.755 0.263

5.
# Sm2Ho3ErSb6

An optimized crystal structure of Sm2Ho3ErSb6 (GGA-PBE, Alexandria via LeMat-Bulk).

Computed properties:
Total DFT energy (no corrections) (eV for the cell shown): -66.016
E_form (uncorrected) (meV/atom): -1129

abc: 4.400 8.799 9.836
angles: 102.88 102.93 90.00
Atoms (fractional coordinates):
Sm1 0.834 0.667 0.668
Sm2 0.166 0.333 0.332
Ho1 0.500 0.500 0.000
Ho2 0.832 0.166 0.665
Ho3 0.168 0.834 0.335
Er1 0.500 0.000 0.000
Sb1 0.334 0.922 0.668
Sb2 0.665 0.587 0.331
Sb3 0.666 0.078 0.332
Sb4 0.998 0.248 0.996
Sb5 0.002 0.752 0.004
Sb6 0.335 0.413 0.669

6.
# SmHo3Er2Sb6

An optimized crystal structure of SmHo3Er2Sb6 (GGA-PBE, Alexandria via LeMat-Bulk).

Computed properties:
Total DFT energy (no corrections) (eV for the cell shown): -65.700
E_form (uncorrected) (meV/atom): -1116

abc: 4.380 8.760 9.792
angles: 102.88 102.92 90.00
Atoms (fractional coordinates):
Sm1 0.500 0.000 0.000
Ho1 0.500 0.500 0.000
Ho2 0.834 0.168 0.669
Ho3 0.166 0.832 0.331
Er1 0.833 0.667 0.666
Er2 0.167 0.333 0.334
Sb1 0.331 0.915 0.663
Sb2 0.667 0.582 0.334
Sb3 0.669 0.085 0.337
Sb4 0.001 0.255 0.002
Sb5 0.999 0.745 0.998
Sb6 0.333 0.418 0.666

Repeat the fourth record exactly.
# HoErSc2Sb4

An optimized crystal structure of HoErSc2Sb4 (GGA-PBE, Alexandria via LeMat-Bulk).

Computed properties:
Total DFT energy (no corrections) (eV for the cell shown): -46.417
E_form (uncorrected) (meV/atom): -1016

abc: 4.266 7.387 7.379
angles: 109.48 90.00 90.00
Atoms (fractional coordinates):
Ho1 0.500 0.500 0.000
Er1 0.000 0.000 0.000
Sc1 0.500 0.000 0.500
Sc2 0.000 0.500 0.500
Sb1 0.500 0.254 0.263
Sb2 0.500 0.746 0.737
Sb3 0.000 0.245 0.737
Sb4 0.000 0.755 0.263